1.
## Pm7HoTl4 (GGA-PBE)

Data for a relaxed Pm7HoTl4 crystal.

```
Pm7HoTl4
1.0
7.473 -2.942 0.000
7.473 2.942 0.000
-5.596 0.000 8.725
Pm Ho Tl
7 1 4
direct
0.000 0.000 0.000 Pm
0.232 0.232 0.674 Pm
0.296 0.296 0.117 Pm
0.437 0.437 0.604 Pm
0.563 0.563 0.396 Pm
0.704 0.704 0.883 Pm
0.768 0.768 0.326 Pm
0.500 0.500 0.000 Ho
0.055 0.055 0.737 Tl
0.186 0.186 0.335 Tl
0.814 0.814 0.665 Tl
0.945 0.945 0.263 Tl
```

Properties
- Size of the total moment: 0.000 μB/atom
- Calculated formation energy: -61 meV per atom



2.
## Pm6HoTl4 (GGA-PBE)

Data for a relaxed Pm6HoTl4 crystal.

```
Pm6HoTl4
1.0
-3.278 3.278 8.457
3.278 -3.278 8.457
3.278 3.278 -8.457
Pm Ho Tl
6 1 4
direct
0.000 0.500 0.500 Pm
0.058 0.584 0.000 Pm
0.416 0.416 0.473 Pm
0.500 0.000 0.500 Pm
0.584 0.058 0.000 Pm
0.942 0.942 0.527 Pm
0.500 0.500 0.000 Ho
0.124 0.124 0.515 Tl
0.392 0.876 0.000 Tl
0.608 0.608 0.485 Tl
0.876 0.392 0.000 Tl
```

Properties
- Size of the total moment: 0.117 μB/atom
- Calculated formation energy: -163 meV per atom



3.
## Pm3Ho3Tl (GGA-PBE)

Data for a relaxed Pm3Ho3Tl crystal.

```
Pm3Ho3Tl
1.0
9.503 0.000 0.000
-4.751 8.230 0.000
0.000 0.000 5.593
Pm Ho Tl
6 6 2
direct
0.107 0.632 0.250 Pm
0.368 0.475 0.250 Pm
0.475 0.107 0.750 Pm
0.525 0.893 0.250 Pm
0.632 0.525 0.750 Pm
0.893 0.368 0.750 Pm
0.060 0.824 0.750 Ho
0.176 0.236 0.750 Ho
0.236 0.060 0.250 Ho
0.764 0.940 0.750 Ho
0.824 0.764 0.250 Ho
0.940 0.176 0.250 Ho
0.333 0.667 0.750 Tl
0.667 0.333 0.250 Tl
```

Properties
- Size of the total moment: 0.001 μB/atom
- Calculated formation energy: -72 meV per atom



4.
## Pm6Ho12Tl (GGA-PBE)

Data for a relaxed Pm6Ho12Tl crystal.

```
Pm6Ho12Tl
1.0
5.945 3.432 4.981
-5.945 3.432 4.981
0.000 -6.865 4.981
Pm Ho Tl
6 12 1
direct
0.196 0.760 0.592 Pm
0.240 0.408 0.804 Pm
0.408 0.804 0.240 Pm
0.592 0.196 0.760 Pm
0.760 0.592 0.196 Pm
0.804 0.240 0.408 Pm
0.039 0.935 0.277 Ho
0.065 0.723 0.961 Ho
0.141 0.487 0.311 Ho
0.277 0.039 0.935 Ho
0.311 0.141 0.487 Ho
0.487 0.311 0.141 Ho
0.513 0.689 0.859 Ho
0.689 0.859 0.513 Ho
0.723 0.961 0.065 Ho
0.859 0.513 0.689 Ho
0.935 0.277 0.039 Ho
0.961 0.065 0.723 Ho
0.500 0.500 0.500 Tl
```

Properties
- Size of the total moment: 0.000 μB/atom
- Calculated formation energy: 83 meV per atom



5.
## PmHo5Tl4 (GGA-PBE)

Data for a relaxed PmHo5Tl4 crystal.

```
PmHo5Tl4
1.0
3.602 0.000 0.000
0.000 3.602 0.000
0.000 0.000 21.802
Pm Ho Tl
1 5 4
direct
0.000 0.000 0.000 Pm
0.500 0.500 0.116 Ho
0.500 0.500 0.308 Ho
0.500 0.500 0.500 Ho
0.500 0.500 0.692 Ho
0.500 0.500 0.884 Ho
0.000 0.000 0.212 Tl
0.000 0.000 0.404 Tl
0.000 0.000 0.596 Tl
0.000 0.000 0.788 Tl
```

Properties
- Size of the total moment: 0.015 μB/atom
- Calculated formation energy: -264 meV per atom



6.
## PmHoTl (GGA-PBE)

Data for a relaxed PmHoTl crystal.

```
PmHoTl
1.0
5.293 0.000 0.000
-2.646 4.584 0.000
0.000 0.000 3.754
Pm Ho Tl
1 1 1
direct
0.000 0.000 0.000 Pm
0.667 0.333 0.529 Ho
0.333 0.667 0.410 Tl
```

Properties
- Offset from the most stable computed form: 0.101 eV per atom
- Size of the total moment: 0.000 μB/atom
- Calculated formation energy: -160 meV per atom



calculated formation energy of number 3 (Pm3Ho3Tl)? -72 meV per atom